DFT (PBE) results for a geometry-optimized ZrTlP2O structure.

a b c (Å): 5.020 5.020 4.089
angles (deg): 90.00 90.00 90.00
Element x y z (fractional)
Zr1 0.000 0.000 0.000
Tl1 0.500 0.500 0.500
P1 0.000 0.500 0.500
P2 0.500 0.000 0.500
O1 0.500 0.500 0.000

Summary:
Crystal system: tetragonal
Energy above the most stable polymorph in this dataset, eV/f.u.: 5.58
Total energy, eV/atom: -4.7500
DOS(E_F), states/eV/f.u.: 2.953